{"formula": "TlCrGaF6", "functional": "PBE+U", "state": "optimized geometry", "cell": [[5.458, 0.114, -0.031], [2.828, 4.898, -0.061], [-0.030, -0.052, 5.997]], "species": ["Tl", "Cr", "Ga", "F", "F", "F", "F", "F", "F"], "fractional_positions": [[0.006, 0.997, 0.000], [0.671, 0.665, 0.500], [0.342, 0.329, 0.500], [0.019, 0.372, 0.320], [0.367, 0.021, 0.665], [0.604, 0.347, 0.698], [0.019, 0.609, 0.680], [0.367, 0.612, 0.335], [0.604, 0.048, 0.302]], "sg": "C2 (5)", "e_tot_ry_per_atom": -0.377}